Record 1
Compound: Pm12SmTh5
Source: Alexandria via LeMat-Bulk
Functional: PBE
Structure: optimized geometry

* M_tot: 0.0 Bohr magnetons per cell
* density of states at the Fermi level: 28.677 states/eV/cell
* space group: No. 12
* electronic total energy: -5.43 eV per atom
* formation energy: 1.1 eV per formula unit
* crystal system: monoclinic

Cell lengths 10.8612, 10.9088, 6.2884 Å; angles 72.69, 90.01, 60.15 degrees
Closest atoms and distances in Å follow each position.
Fractional positions:
Pm 0.1698 0.3335 0.4991  7 Pm 3.55-3.67, 5 Th 3.60-3.66
Pm 0.3322 0.6637 0.0002  7 Pm 3.56-3.71, 4 Th 3.57-3.66, 1 Sm 3.65
Pm 0.6678 0.3363 0.9998  7 Pm 3.56-3.71, 4 Th 3.57-3.66, 1 Sm 3.65
Pm 0.0043 0.6638 0.0000  7 Pm 3.56-3.71, 4 Th 3.57-3.66, 1 Sm 3.64
Pm 0.6599 0.0000 0.0000  7 Pm 3.47-3.71, 4 Th 3.59, 1 Sm 3.69
Pm 0.4963 0.3336 0.4992  7 Pm 3.55-3.68, 5 Th 3.60-3.66
Pm 0.8302 0.6665 0.5009  7 Pm 3.55-3.67, 5 Th 3.60-3.66
Pm 0.8353 0.0001 0.4998  7 Pm 3.58-3.68, 2 Sm 3.62, 3 Th 3.64
Pm 0.1647 0.9999 0.5002  7 Pm 3.58-3.68, 2 Sm 3.62, 3 Th 3.64
Pm 0.3401 0.0000 0.0000  7 Pm 3.47-3.71, 4 Th 3.59, 1 Sm 3.69
Pm 0.9957 0.3362 0.0000  7 Pm 3.56-3.71, 4 Th 3.57-3.66, 1 Sm 3.64
Pm 0.5037 0.6665 0.5008  7 Pm 3.55-3.68, 5 Th 3.60-3.66
Th 0.3339 0.3321 0.9994  2 Th 3.56-3.60, 10 Pm 3.59-3.65
Th 0.1687 0.6627 0.5084  1 Th 3.56, 10 Pm 3.57-3.66, 1 Sm 3.66
Th 0.6661 0.6679 0.0006  2 Th 3.56-3.60, 10 Pm 3.59-3.65
Th 0.8313 0.3373 0.4916  1 Th 3.56, 10 Pm 3.57-3.66, 1 Sm 3.66
Th 0.5000 0.0000 0.5000  10 Pm 3.59-3.64, 2 Th 3.60
Sm 0.0000 0.0000 0.0000  10 Pm 3.62-3.69, 2 Th 3.66

***

Record 2
Compound: KCdPbBr5
Source: Alexandria via LeMat-Bulk
Functional: PBE
Structure: optimized geometry

* M_tot: 0.0 Bohr magnetons per cell
* density of states at the Fermi level: 0.000 states/eV/cell
* space group: No. 15
* electronic total energy: -2.86 eV per atom
* crystal system: monoclinic

Cell lengths 8.1617, 8.1617, 10.8091 Å; angles 103.93, 103.93, 106.31 degrees
Closest atoms and distances in Å follow each position.
Fractional positions:
Br 0.2707 0.3833 0.5565  1 Cd 2.66
Br 0.7293 0.6167 0.4435  1 Cd 2.66
Br 0.6598 0.0782 0.3759  1 Cd 2.64
Br 0.0963 0.9037 0.2500  2 Pb 2.98, 1 K 3.28
Br 0.9037 0.0963 0.7500  2 Pb 2.98, 1 K 3.28
Br 0.3833 0.2707 0.0565  1 Cd 2.66
Br 0.3402 0.9218 0.6241  1 Cd 2.64
Br 0.6167 0.7293 0.9435  1 Cd 2.66
Br 0.0782 0.6598 0.8759  1 Cd 2.64
Br 0.9218 0.3402 0.1241  1 Cd 2.64
Cd 0.3188 0.6812 0.7500  4 Br 2.64-2.66
Cd 0.6812 0.3188 0.2500  4 Br 2.64-2.66
K 0.3477 0.6523 0.2500  5 Br 3.28-3.44
K 0.6523 0.3477 0.7500  5 Br 3.28-3.44
Pb 0.0000 0.0000 0.5000  6 Br 2.98-3.10
Pb 0.0000 0.0000 0.0000  6 Br 2.98-3.10

***

- M_tot of number 1 (Pm12SmTh5)?
  0.0 Bohr magnetons per cell

***

- M_tot of number 2 (KCdPbBr5)?
  0.0 Bohr magnetons per cell